Entry 1:
Computed, not measured: crystalline Re2PtSe at its relaxed geometry at the PBE level of DFT.

Computed properties:
Formation energy from raw total energies ... 0.49 eV per atom

CIF file:
```
data_Re2PtSe
_cell_length_a 4.281
_cell_length_b 4.281
_cell_length_c 5.590
_cell_angle_alpha 99.05
_cell_angle_beta 99.05
_cell_angle_gamma 38.77
_symmetry_space_group_name_H-M 'P 1'
_symmetry_Int_Tables_number 1
loop_
_symmetry_equiv_pos_as_xyz
'x,y,z'
loop_
_atom_site_label
_atom_site_type_symbol
_atom_site_fract_x
_atom_site_fract_y
_atom_site_fract_z
Re1 Re 0.248 0.248 0.279
Re2 Re 0.752 0.752 0.721
Pt1 Pt 0.500 0.500 0.000
Se1 Se 0.000 0.000 0.500
```

Entry 2:
Computed, not measured: crystalline Re2PtSe at its relaxed geometry at the PBE level of DFT.

Computed properties:
Formation energy from raw total energies ... 0.75 eV per atom

CIF file:
```
data_Re2PtSe
_cell_length_a 4.485
_cell_length_b 4.485
_cell_length_c 4.485
_cell_angle_alpha 60.00
_cell_angle_beta 60.00
_cell_angle_gamma 60.00
_symmetry_space_group_name_H-M 'P 1'
_symmetry_Int_Tables_number 1
loop_
_symmetry_equiv_pos_as_xyz
'x,y,z'
loop_
_atom_site_label
_atom_site_type_symbol
_atom_site_fract_x
_atom_site_fract_y
_atom_site_fract_z
Re1 Re 0.000 0.000 0.000
Re2 Re 0.250 0.250 0.250
Pt1 Pt 0.500 0.500 0.500
Se1 Se 0.750 0.750 0.750
```

Entry 3:
Computed, not measured: crystalline Re2PtSe at its relaxed geometry at the PBE level of DFT.

Computed properties:
Formation energy from raw total energies ... 0.52 eV per atom

CIF file:
```
data_Re2PtSe
_cell_length_a 5.437
_cell_length_b 5.437
_cell_length_c 5.437
_cell_angle_alpha 148.05
_cell_angle_beta 132.15
_cell_angle_gamma 58.70
_symmetry_space_group_name_H-M 'P 1'
_symmetry_Int_Tables_number 1
loop_
_symmetry_equiv_pos_as_xyz
'x,y,z'
loop_
_atom_site_label
_atom_site_type_symbol
_atom_site_fract_x
_atom_site_fract_y
_atom_site_fract_z
Re1 Re 0.213 0.213 0.000
Re2 Re 0.787 0.787 0.000
Pt1 Pt 0.500 0.000 0.500
Se1 Se 0.000 0.500 0.500
```

Entry 4:
Computed, not measured: crystalline ReSi2PtSe at its relaxed geometry at the PBE level of DFT.

Computed properties:
Formation energy from raw total energies ... 1.63 eV per atom

CIF file:
```
data_ReSi2PtSe
_cell_length_a 4.616
_cell_length_b 4.616
_cell_length_c 4.648
_cell_angle_alpha 90.00
_cell_angle_beta 90.00
_cell_angle_gamma 90.00
_symmetry_space_group_name_H-M 'P 1'
_symmetry_Int_Tables_number 1
loop_
_symmetry_equiv_pos_as_xyz
'x,y,z'
loop_
_atom_site_label
_atom_site_type_symbol
_atom_site_fract_x
_atom_site_fract_y
_atom_site_fract_z
Re1 Re 0.000 0.000 0.000
Si1 Si 0.000 0.500 0.500
Si2 Si 0.500 0.000 0.500
Pt1 Pt 0.500 0.500 0.000
Se1 Se 0.500 0.500 0.500
```

Entry 5:
Computed, not measured: crystalline ReSnPtSe2 at its relaxed geometry at the PBE level of DFT.

Computed properties:
Formation energy from raw total energies ... 1.88 eV per atom

CIF file:
```
data_ReSnPtSe2
_cell_length_a 5.114
_cell_length_b 5.114
_cell_length_c 5.266
_cell_angle_alpha 90.00
_cell_angle_beta 90.00
_cell_angle_gamma 90.00
_symmetry_space_group_name_H-M 'P 1'
_symmetry_Int_Tables_number 1
loop_
_symmetry_equiv_pos_as_xyz
'x,y,z'
loop_
_atom_site_label
_atom_site_type_symbol
_atom_site_fract_x
_atom_site_fract_y
_atom_site_fract_z
Re1 Re 0.000 0.000 0.000
Sn1 Sn 0.000 0.000 0.500
Pt1 Pt 0.500 0.500 0.000
Se1 Se 0.000 0.500 0.500
Se2 Se 0.500 0.000 0.500
```

Entry 6:
Computed, not measured: crystalline Re3SiPt at its relaxed geometry at the PBE level of DFT.

Computed properties:
Formation energy from raw total energies ... 2.60 eV per atom
Energy above the lowest structure with this stoichiometry ... 1381 meV per atom

CIF file:
```
data_Re3SiPt
_cell_length_a 4.754
_cell_length_b 4.754
_cell_length_c 4.754
_cell_angle_alpha 90.00
_cell_angle_beta 90.00
_cell_angle_gamma 90.00
_symmetry_space_group_name_H-M 'P 1'
_symmetry_Int_Tables_number 1
loop_
_symmetry_equiv_pos_as_xyz
'x,y,z'
loop_
_atom_site_label
_atom_site_type_symbol
_atom_site_fract_x
_atom_site_fract_y
_atom_site_fract_z
Re1 Re 0.000 0.000 0.500
Re2 Re 0.000 0.500 0.000
Re3 Re 0.500 0.000 0.000
Si1 Si 0.500 0.500 0.500
Pt1 Pt 0.000 0.000 0.000
```

Entry 7:
Computed, not measured: crystalline ReSi2Pt2 at its relaxed geometry at the PBE level of DFT.

Computed properties:
Formation energy from raw total energies ... -0.18 eV per atom

CIF file:
```
data_ReSi2Pt2
_cell_length_a 6.693
_cell_length_b 6.693
_cell_length_c 3.218
_cell_angle_alpha 90.00
_cell_angle_beta 90.00
_cell_angle_gamma 90.00
_symmetry_space_group_name_H-M 'P 1'
_symmetry_Int_Tables_number 1
loop_
_symmetry_equiv_pos_as_xyz
'x,y,z'
loop_
_atom_site_label
_atom_site_type_symbol
_atom_site_fract_x
_atom_site_fract_y
_atom_site_fract_z
Re1 Re 0.000 0.000 0.000
Re2 Re 0.500 0.500 0.000
Si1 Si 0.146 0.354 0.000
Si2 Si 0.354 0.854 0.000
Si3 Si 0.646 0.146 0.000
Si4 Si 0.854 0.646 0.000
Pt1 Pt 0.152 0.652 0.500
Pt2 Pt 0.348 0.152 0.500
Pt3 Pt 0.652 0.848 0.500
Pt4 Pt 0.848 0.348 0.500
```

Entry 8:
Computed, not measured: crystalline ReSiPt4 at its relaxed geometry at the PBE level of DFT.

Computed properties:
Formation energy from raw total energies ... 0.60 eV per atom

CIF file:
```
data_ReSiPt4
_cell_length_a 5.233
_cell_length_b 5.233
_cell_length_c 5.233
_cell_angle_alpha 60.00
_cell_angle_beta 60.00
_cell_angle_gamma 60.00
_symmetry_space_group_name_H-M 'P 1'
_symmetry_Int_Tables_number 1
loop_
_symmetry_equiv_pos_as_xyz
'x,y,z'
loop_
_atom_site_label
_atom_site_type_symbol
_atom_site_fract_x
_atom_site_fract_y
_atom_site_fract_z
Re1 Re 0.000 0.000 0.000
Si1 Si 0.750 0.750 0.750
Pt1 Pt 0.375 0.375 0.375
Pt2 Pt 0.375 0.375 0.876
Pt3 Pt 0.375 0.876 0.375
Pt4 Pt 0.876 0.375 0.375
```

Entry 9:
Computed, not measured: crystalline Re4SiPt at its relaxed geometry at the PBE level of DFT.

Computed properties:
Formation energy from raw total energies ... 0.71 eV per atom

CIF file:
```
data_Re4SiPt
_cell_length_a 5.155
_cell_length_b 5.155
_cell_length_c 5.155
_cell_angle_alpha 60.00
_cell_angle_beta 60.00
_cell_angle_gamma 60.00
_symmetry_space_group_name_H-M 'P 1'
_symmetry_Int_Tables_number 1
loop_
_symmetry_equiv_pos_as_xyz
'x,y,z'
loop_
_atom_site_label
_atom_site_type_symbol
_atom_site_fract_x
_atom_site_fract_y
_atom_site_fract_z
Re1 Re 0.124 0.124 0.124
Re2 Re 0.124 0.124 0.629
Re3 Re 0.124 0.629 0.124
Re4 Re 0.629 0.124 0.124
Si1 Si 0.500 0.500 0.500
Pt1 Pt 0.750 0.750 0.750
```

Entry 10:
Computed, not measured: crystalline Re3SiPt at its relaxed geometry at the PBE level of DFT.

Computed properties:
Formation energy from raw total energies ... 1.22 eV per atom
Energy above the lowest structure with this stoichiometry ... 0 meV per atom

CIF file:
```
data_Re3SiPt
_cell_length_a 4.367
_cell_length_b 4.367
_cell_length_c 4.367
_cell_angle_alpha 90.00
_cell_angle_beta 90.00
_cell_angle_gamma 90.00
_symmetry_space_group_name_H-M 'P 1'
_symmetry_Int_Tables_number 1
loop_
_symmetry_equiv_pos_as_xyz
'x,y,z'
loop_
_atom_site_label
_atom_site_type_symbol
_atom_site_fract_x
_atom_site_fract_y
_atom_site_fract_z
Re1 Re 0.000 0.000 0.500
Re2 Re 0.000 0.500 0.000
Re3 Re 0.500 0.000 0.000
Si1 Si 0.000 0.000 0.000
Pt1 Pt 0.500 0.500 0.500
```

Entry 11:
Computed, not measured: crystalline Re2SnTePt at its relaxed geometry at the PBE level of DFT.

Computed properties:
Formation energy from raw total energies ... 2.11 eV per atom

CIF file:
```
data_Re2SnTePt
_cell_length_a 5.002
_cell_length_b 5.002
_cell_length_c 4.876
_cell_angle_alpha 90.00
_cell_angle_beta 90.00
_cell_angle_gamma 90.00
_symmetry_space_group_name_H-M 'P 1'
_symmetry_Int_Tables_number 1
loop_
_symmetry_equiv_pos_as_xyz
'x,y,z'
loop_
_atom_site_label
_atom_site_type_symbol
_atom_site_fract_x
_atom_site_fract_y
_atom_site_fract_z
Re1 Re 0.000 0.500 0.000
Re2 Re 0.500 0.000 0.000
Sn1 Sn 0.000 0.000 0.000
Te1 Te 0.500 0.500 0.500
Pt1 Pt 0.000 0.000 0.500
```

Entry 12:
Computed, not measured: crystalline SrRe4Pt at its relaxed geometry at the PBE level of DFT.

Computed properties:
Energy relative to the elements ... 0.59 eV per atom

CIF file:
```
data_SrRe4Pt
_cell_length_a 5.341
_cell_length_b 5.341
_cell_length_c 5.341
_cell_angle_alpha 60.00
_cell_angle_beta 60.00
_cell_angle_gamma 60.00
_symmetry_space_group_name_H-M 'P 1'
_symmetry_Int_Tables_number 1
loop_
_symmetry_equiv_pos_as_xyz
'x,y,z'
loop_
_atom_site_label
_atom_site_type_symbol
_atom_site_fract_x
_atom_site_fract_y
_atom_site_fract_z
Sr1 Sr 0.000 0.000 0.000
Re1 Re 0.376 0.376 0.376
Re2 Re 0.376 0.376 0.871
Re3 Re 0.376 0.871 0.376
Re4 Re 0.871 0.376 0.376
Pt1 Pt 0.750 0.750 0.750
```

Entry 13:
Computed, not measured: crystalline Sr2RePt2 at its relaxed geometry at the PBE level of DFT.

Computed properties:
Energy relative to the elements ... -0.15 eV per atom

CIF file:
```
data_Sr2RePt2
_cell_length_a 6.826
_cell_length_b 6.826
_cell_length_c 4.962
_cell_angle_alpha 90.00
_cell_angle_beta 90.00
_cell_angle_gamma 90.00
_symmetry_space_group_name_H-M 'P 1'
_symmetry_Int_Tables_number 1
loop_
_symmetry_equiv_pos_as_xyz
'x,y,z'
loop_
_atom_site_label
_atom_site_type_symbol
_atom_site_fract_x
_atom_site_fract_y
_atom_site_fract_z
Sr1 Sr 0.176 0.324 0.000
Sr2 Sr 0.324 0.824 0.000
Sr3 Sr 0.676 0.176 0.000
Sr4 Sr 0.824 0.676 0.000
Re1 Re 0.000 0.000 0.500
Re2 Re 0.500 0.500 0.500
Pt1 Pt 0.143 0.643 0.500
Pt2 Pt 0.357 0.143 0.500
Pt3 Pt 0.643 0.857 0.500
Pt4 Pt 0.857 0.357 0.500
```

Entry 14:
Computed, not measured: crystalline SrRePt4 at its relaxed geometry at the PBE level of DFT.

Computed properties:
Energy relative to the elements ... 0.10 eV per atom

CIF file:
```
data_SrRePt4
_cell_length_a 5.399
_cell_length_b 5.399
_cell_length_c 5.399
_cell_angle_alpha 60.00
_cell_angle_beta 60.00
_cell_angle_gamma 60.00
_symmetry_space_group_name_H-M 'P 1'
_symmetry_Int_Tables_number 1
loop_
_symmetry_equiv_pos_as_xyz
'x,y,z'
loop_
_atom_site_label
_atom_site_type_symbol
_atom_site_fract_x
_atom_site_fract_y
_atom_site_fract_z
Sr1 Sr 0.000 0.000 0.000
Re1 Re 0.250 0.250 0.250
Pt1 Pt 0.127 0.624 0.624
Pt2 Pt 0.624 0.127 0.624
Pt3 Pt 0.624 0.624 0.127
Pt4 Pt 0.624 0.624 0.624
```

Entry 15:
Computed, not measured: crystalline SrTiRe2Pt at its relaxed geometry at the PBE level of DFT.

Computed properties:
Energy relative to the elements ... 2.95 eV per atom

CIF file:
```
data_SrTiRe2Pt
_cell_length_a 4.689
_cell_length_b 4.689
_cell_length_c 4.508
_cell_angle_alpha 90.00
_cell_angle_beta 90.00
_cell_angle_gamma 90.00
_symmetry_space_group_name_H-M 'P 1'
_symmetry_Int_Tables_number 1
loop_
_symmetry_equiv_pos_as_xyz
'x,y,z'
loop_
_atom_site_label
_atom_site_type_symbol
_atom_site_fract_x
_atom_site_fract_y
_atom_site_fract_z
Sr1 Sr 0.000 0.000 0.000
Ti1 Ti 0.000 0.000 0.500
Re1 Re 0.000 0.500 0.000
Re2 Re 0.500 0.000 0.000
Pt1 Pt 0.500 0.500 0.500
```

Entry 16:
Computed, not measured: crystalline TaRePt2 at its relaxed geometry at the PBE level of DFT.

Computed properties:
Energy relative to the elements ... -0.36 eV per atom
Energy above the lowest structure with this stoichiometry ... 83 meV per atom

CIF file:
```
data_TaRePt2
_cell_length_a 2.754
_cell_length_b 4.132
_cell_length_c 5.537
_cell_angle_alpha 90.00
_cell_angle_beta 90.10
_cell_angle_gamma 90.00
_symmetry_space_group_name_H-M 'P 1'
_symmetry_Int_Tables_number 1
loop_
_symmetry_equiv_pos_as_xyz
'x,y,z'
loop_
_atom_site_label
_atom_site_type_symbol
_atom_site_fract_x
_atom_site_fract_y
_atom_site_fract_z
Ta1 Ta 0.000 0.000 0.000
Re1 Re 0.000 0.000 0.500
Pt1 Pt 0.499 0.500 0.256
Pt2 Pt 0.501 0.500 0.744
```

Entry 17:
Computed, not measured: crystalline TaRePt at its relaxed geometry at the PBE level of DFT.

Computed properties:
Energy relative to the elements ... -0.15 eV per atom
Energy above the lowest structure with this stoichiometry ... 62 meV per atom

CIF file:
```
data_TaRePt
_cell_length_a 4.575
_cell_length_b 4.575
_cell_length_c 2.690
_cell_angle_alpha 90.00
_cell_angle_beta 90.00
_cell_angle_gamma 120.00
_symmetry_space_group_name_H-M 'P 1'
_symmetry_Int_Tables_number 1
loop_
_symmetry_equiv_pos_as_xyz
'x,y,z'
loop_
_atom_site_label
_atom_site_type_symbol
_atom_site_fract_x
_atom_site_fract_y
_atom_site_fract_z
Ta1 Ta 0.000 0.000 0.000
Re1 Re 0.333 0.667 0.500
Pt1 Pt 0.667 0.333 0.000
```

Entry 18:
Computed, not measured: crystalline TaRePt4 at its relaxed geometry at the PBE level of DFT.

Computed properties:
Energy relative to the elements ... 0.08 eV per atom

CIF file:
```
data_TaRePt4
_cell_length_a 5.176
_cell_length_b 5.176
_cell_length_c 5.176
_cell_angle_alpha 60.00
_cell_angle_beta 60.00
_cell_angle_gamma 60.00
_symmetry_space_group_name_H-M 'P 1'
_symmetry_Int_Tables_number 1
loop_
_symmetry_equiv_pos_as_xyz
'x,y,z'
loop_
_atom_site_label
_atom_site_type_symbol
_atom_site_fract_x
_atom_site_fract_y
_atom_site_fract_z
Ta1 Ta 0.000 0.000 0.000
Re1 Re 0.750 0.750 0.750
Pt1 Pt 0.375 0.375 0.375
Pt2 Pt 0.375 0.375 0.874
Pt3 Pt 0.375 0.874 0.375
Pt4 Pt 0.874 0.375 0.375
```

Entry 19:
Computed, not measured: crystalline TaRePt2 at its relaxed geometry at the PBE level of DFT.

Computed properties:
Energy relative to the elements ... -0.32 eV per atom
Energy above the lowest structure with this stoichiometry ... 127 meV per atom

CIF file:
```
data_TaRePt2
_cell_length_a 4.841
_cell_length_b 4.841
_cell_length_c 4.841
_cell_angle_alpha 130.87
_cell_angle_beta 130.87
_cell_angle_gamma 72.02
_symmetry_space_group_name_H-M 'P 1'
_symmetry_Int_Tables_number 1
loop_
_symmetry_equiv_pos_as_xyz
'x,y,z'
loop_
_atom_site_label
_atom_site_type_symbol
_atom_site_fract_x
_atom_site_fract_y
_atom_site_fract_z
Ta1 Ta 0.000 0.000 0.000
Re1 Re 0.250 0.750 0.500
Pt1 Pt 0.500 0.500 0.000
Pt2 Pt 0.750 0.250 0.500
```

Entry 20:
Computed, not measured: crystalline Ta4RePt at its relaxed geometry at the PBE level of DFT.

Computed properties:
Energy relative to the elements ... 0.28 eV per atom

CIF file:
```
data_Ta4RePt
_cell_length_a 5.311
_cell_length_b 5.311
_cell_length_c 5.311
_cell_angle_alpha 60.00
_cell_angle_beta 60.00
_cell_angle_gamma 60.00
_symmetry_space_group_name_H-M 'P 1'
_symmetry_Int_Tables_number 1
loop_
_symmetry_equiv_pos_as_xyz
'x,y,z'
loop_
_atom_site_label
_atom_site_type_symbol
_atom_site_fract_x
_atom_site_fract_y
_atom_site_fract_z
Ta1 Ta 0.376 0.376 0.376
Ta2 Ta 0.376 0.376 0.871
Ta3 Ta 0.376 0.871 0.376
Ta4 Ta 0.871 0.376 0.376
Re1 Re 0.750 0.750 0.750
Pt1 Pt 0.000 0.000 0.000
```